# Hf7Ga2Pb2 PBE-GGA optimized geometry
# DOS at the Fermi energy ... 9.44 states/eV/f.u.
# E_form ... 0.233 eV/atom
# Magnetic moment ... 0.000 Bohr magnetons per cell
data_Hf7Ga2Pb2
_cell_length_a 8.2624
_cell_length_b 9.9330
_cell_length_c 6.4054
_cell_angle_alpha 90.00
_cell_angle_beta 90.00
_cell_angle_gamma 90.00
_symmetry_space_group_name_H-M 'C m m m'
_symmetry_Int_Tables_number 65
_symmetry_space_group_name_Hall '-C 2 2'
loop_
_atom_site_label
_atom_site_type_symbol
_atom_site_fract_x
_atom_site_fract_y
_atom_site_fract_z
Hf1 Hf 0.0000 0.0000 0.0000
Hf2 Hf 0.0000 0.5000 0.2500
Hf3 Hf 0.2500 0.2500 0.2565
Ga1 Ga 0.0000 0.2742 0.0000
Pb1 Pb 0.1822 0.0000 0.5000